# MgNiRh2

A relaxed structure of MgNiRh2 (PBE, the Alexandria database).

## Properties
Electronic total energy (eV per atom): -5.56

a = 8.636 Å, b = 8.636 Å, c = 8.636 Å
α = 18.55°, β = 18.55°, γ = 18.55°
Sites, in units of the cell vectors:
Mg1 0.000 0.000 0.000
Ni1 0.500 0.500 0.500
Rh1 0.247 0.247 0.247
Rh2 0.753 0.753 0.753



# MgNi2Rh

A relaxed structure of MgNi2Rh (PBE, the Alexandria database).

## Properties
Electronic total energy (eV per atom): -5.19

a = 4.208 Å, b = 4.208 Å, c = 4.208 Å
α = 60.00°, β = 60.00°, γ = 60.00°
Sites, in units of the cell vectors:
Mg1 0.000 0.000 0.000
Ni1 0.500 0.500 0.500
Ni2 0.750 0.750 0.750
Rh1 0.250 0.250 0.250



# Mg2Ni3Rh

A relaxed structure of Mg2Ni3Rh (PBE, the Alexandria database).

## Properties
Electronic total energy (eV per atom): -4.90

a = 5.003 Å, b = 5.003 Å, c = 5.003 Å
α = 57.70°, β = 57.70°, γ = 57.70°
Sites, in units of the cell vectors:
Mg1 0.124 0.124 0.124
Mg2 0.876 0.876 0.876
Ni1 0.000 0.500 0.500
Ni2 0.500 0.000 0.500
Ni3 0.500 0.500 0.000
Rh1 0.500 0.500 0.500



no.,calculated formation energy (eV/atom)
1,-0.0443
2,-0.0664
3,-0.2503